Density functional theory data (PBE) for a relaxed structure of Ce4C2Cl5.

Values from the calculation:
Volume, Å³ per cell: 286
Energy relative to the elements, uncorrected, eV per atom: -1.534
Magnetization, μB/atom: 0.32

Unit cell a=4.134 b=8.252 c=8.894 alpha=102.87 beta=102.80 gamma=94.68
Positions (direct):
Ce: 0.040 0.279 0.002
Ce: 0.356 0.421 0.709
Ce: 0.644 0.579 0.291
Ce: 0.960 0.721 0.998
C: 0.387 0.559 0.999
C: 0.613 0.441 0.001
Cl: 0.144 0.347 0.346
Cl: 0.196 0.827 0.336
Cl: 0.500 0.000 0.000
Cl: 0.804 0.173 0.664
Cl: 0.856 0.653 0.654



Density functional theory data (PBE) for a relaxed structure of Ce4C2Cl.

Values from the calculation:
Energy relative to the lowest polymorph listed for this composition, meV/atom: 186.6
Volume, Å³ per cell: 308
Energy relative to the elements, uncorrected, eV per atom: -0.419
Magnetization, μB/atom: 0.37

Unit cell a=7.491 b=7.491 c=7.491 alpha=123.20 beta=106.71 gamma=99.50
Positions (direct):
Ce: 0.243 0.287 0.544
Ce: 0.243 0.699 0.956
Ce: 0.299 0.242 0.058
Ce: 0.316 0.758 0.558
Ce: 0.684 0.242 0.442
Ce: 0.701 0.758 0.942
Ce: 0.757 0.301 0.044
Ce: 0.757 0.713 0.456
C: 0.000 0.500 0.500
C: 0.500 0.000 0.000
C: 0.500 0.500 0.000
C: 0.500 0.500 0.500
Cl: 0.029 0.779 0.250
Cl: 0.971 0.221 0.750



Density functional theory data (PBE) for a relaxed structure of Ce4C2Cl.

Values from the calculation:
Energy relative to the lowest polymorph listed for this composition, meV/atom: 0.0
Volume, Å³ per cell: 153
Energy relative to the elements, uncorrected, eV per atom: -0.606
Magnetization, μB/atom: 0.35

Unit cell a=13.819 b=13.819 c=13.819 alpha=14.93 beta=14.93 gamma=14.93
Positions (direct):
Ce: 0.123 0.123 0.123
Ce: 0.279 0.279 0.279
Ce: 0.721 0.721 0.721
Ce: 0.877 0.877 0.877
C: 0.422 0.422 0.422
C: 0.578 0.578 0.578
Cl: 0.000 0.000 0.000



Density functional theory data (PBE) for a relaxed structure of Ce3CCl2.

Values from the calculation:
Energy relative to the lowest polymorph listed for this composition, meV/atom: 0.0
Volume, Å³ per cell: 257
Energy relative to the elements, uncorrected, eV per atom: -1.124
Magnetization, μB/atom: 0.19

Unit cell a=6.583 b=6.583 c=7.177 alpha=98.80 beta=98.80 gamma=119.94
Positions (direct):
Ce: 0.073 0.430 0.789
Ce: 0.213 0.213 0.208
Ce: 0.430 0.073 0.789
Ce: 0.570 0.927 0.211
Ce: 0.787 0.787 0.792
Ce: 0.927 0.570 0.211
C: 0.167 0.833 0.000
C: 0.833 0.167 0.000
Cl: 0.000 0.000 0.500
Cl: 0.340 0.660 0.500
Cl: 0.500 0.500 0.000
Cl: 0.660 0.340 0.500



Density functional theory data (PBE) for a relaxed structure of Ce3CCl3.

Values from the calculation:
Energy relative to the lowest polymorph listed for this composition, meV/atom: 254.1
Volume, Å³ per cell: 347
Energy relative to the elements, uncorrected, eV per atom: -1.168
Magnetization, μB/atom: 0.69

Unit cell a=7.529 b=7.529 c=6.716 alpha=96.05 beta=96.05 gamma=111.66
Positions (direct):
Ce: 0.105 0.105 0.297
Ce: 0.140 0.445 0.783
Ce: 0.445 0.140 0.783
Ce: 0.555 0.860 0.217
Ce: 0.860 0.555 0.217
Ce: 0.895 0.895 0.703
C: 0.164 0.164 0.650
C: 0.836 0.836 0.350
Cl: 0.169 0.831 0.000
Cl: 0.257 0.743 0.500
Cl: 0.416 0.416 0.178
Cl: 0.584 0.584 0.822
Cl: 0.743 0.257 0.500
Cl: 0.831 0.169 0.000



Density functional theory data (PBE) for a relaxed structure of Ce2CCl2.

Values from the calculation:
Volume, Å³ per cell: 124
Energy relative to the elements, uncorrected, eV per atom: -1.281
Magnetization, μB/atom: 0.41

Unit cell a=10.480 b=10.480 c=10.480 alpha=20.55 beta=20.55 gamma=20.55
Positions (direct):
Ce: 0.120 0.120 0.120
Ce: 0.880 0.880 0.880
C: 0.500 0.500 0.500
Cl: 0.391 0.391 0.391
Cl: 0.609 0.609 0.609



Density functional theory data (PBE) for a relaxed structure of Ce2CCl.

Values from the calculation:
Volume, Å³ per cell: 84
Energy relative to the elements, uncorrected, eV per atom: -0.963
Magnetization, μB/atom: 0.39

Unit cell a=7.635 b=7.635 c=7.635 alpha=27.53 beta=27.53 gamma=27.53
Positions (direct):
Ce: 0.000 0.000 0.000
Ce: 0.205 0.205 0.205
C: 0.604 0.604 0.604
Cl: 0.771 0.771 0.771



Density functional theory data (PBE) for a relaxed structure of CeCCl.

Values from the calculation:
Volume, Å³ per cell: 126
Energy relative to the elements, uncorrected, eV per atom: -0.613
Magnetization, μB/atom: 0.00

Unit cell a=9.661 b=9.661 c=9.661 alpha=158.00 beta=158.00 gamma=31.31
Positions (direct):
Ce: 0.087 0.087 0.000
Ce: 0.913 0.913 0.000
C: 0.000 0.500 0.500
C: 0.500 0.000 0.500
Cl: 0.334 0.334 0.000
Cl: 0.666 0.666 0.000



Density functional theory data (PBE) for a relaxed structure of Ce3CCl3.

Values from the calculation:
Energy relative to the lowest polymorph listed for this composition, meV/atom: 0.0
Volume, Å³ per cell: 342
Energy relative to the elements, uncorrected, eV per atom: -1.422
Magnetization, μB/atom: 0.37

Unit cell a=8.102 b=3.800 c=11.127 alpha=90.00 beta=93.33 gamma=90.00
Positions (direct):
Ce: 0.093 0.250 0.389
Ce: 0.129 0.250 0.845
Ce: 0.334 0.750 0.620
Ce: 0.666 0.250 0.380
Ce: 0.871 0.750 0.155
Ce: 0.907 0.750 0.611
C: 0.128 0.250 0.622
C: 0.872 0.750 0.378
Cl: 0.131 0.250 0.121
Cl: 0.375 0.750 0.363
Cl: 0.387 0.750 0.874
Cl: 0.613 0.250 0.126
Cl: 0.625 0.250 0.637
Cl: 0.869 0.750 0.879



Density functional theory data (PBE) for a relaxed structure of Ce2CCl2.

Values from the calculation:
Volume, Å³ per cell: 473
Energy relative to the elements, uncorrected, eV per atom: -1.204
Magnetization, μB/atom: 0.40

Unit cell a=9.020 b=7.689 c=6.924 alpha=90.00 beta=100.20 gamma=90.00
Positions (direct):
Ce: 0.064 0.133 0.313
Ce: 0.064 0.367 0.813
Ce: 0.345 0.524 0.271
Ce: 0.345 0.976 0.771
Ce: 0.655 0.024 0.229
Ce: 0.655 0.476 0.729
Ce: 0.936 0.633 0.187
Ce: 0.936 0.867 0.687
C: 0.119 0.091 0.659
C: 0.119 0.409 0.159
C: 0.881 0.591 0.841
C: 0.881 0.909 0.341
Cl: 0.199 0.645 0.607
Cl: 0.199 0.855 0.107
Cl: 0.438 0.202 0.465
Cl: 0.438 0.298 0.965
Cl: 0.562 0.702 0.035
Cl: 0.562 0.798 0.535
Cl: 0.801 0.145 0.893
Cl: 0.801 0.355 0.393



Density functional theory data (PBE) for a relaxed structure of Ce3CCl2.

Values from the calculation:
Energy relative to the lowest polymorph listed for this composition, meV/atom: 33.3
Volume, Å³ per cell: 127
Energy relative to the elements, uncorrected, eV per atom: -1.091
Magnetization, μB/atom: 0.03

Unit cell a=6.972 b=6.972 c=6.972 alpha=148.82 beta=133.08 gamma=57.41
Positions (direct):
Ce: 0.000 0.000 0.000
Ce: 0.362 0.362 0.000
Ce: 0.638 0.638 0.000
C: 0.500 0.000 0.500
Cl: 0.174 0.674 0.500
Cl: 0.826 0.326 0.500



Density functional theory data (PBE) for a relaxed structure of Ce3CCl.

Values from the calculation:
Volume, Å³ per cell: 456
Energy relative to the elements, uncorrected, eV per atom: -0.433
Magnetization, μB/atom: 0.42

Unit cell a=8.371 b=6.708 c=9.084 alpha=90.00 beta=116.67 gamma=90.00
Positions (direct):
Ce: 0.045 0.005 0.237
Ce: 0.045 0.495 0.737
Ce: 0.312 0.165 0.639
Ce: 0.312 0.335 0.139
Ce: 0.416 0.660 0.532
Ce: 0.416 0.840 0.032
Ce: 0.584 0.160 0.968
Ce: 0.584 0.340 0.468
Ce: 0.688 0.665 0.861
Ce: 0.688 0.835 0.361
Ce: 0.955 0.505 0.263
Ce: 0.955 0.995 0.763
C: 0.249 0.150 0.883
C: 0.249 0.350 0.383
C: 0.751 0.650 0.617
C: 0.751 0.850 0.117
Cl: 0.084 0.711 0.031
Cl: 0.084 0.789 0.531
Cl: 0.916 0.211 0.469
Cl: 0.916 0.289 0.969



> Which value of volume does entry 1 give?

286 Å³ per cell



> Number 7 is which compound?

Ce2CCl



> Which value of energy relative to the elements, uncorrected does entry 12 give?

-0.433 eV per atom



> The lowest magnetization belongs to which entry?

CeCCl